Entry 1:
Nd2Ho5Tm4, relaxed, DFT PBE-GGA; offset from the most stable computed form = 0.000 eV/f.u.; calculated volume = 345 Å³/cell; energy of formation = 0.3 eV per formula unit; total magnetization = 0.00 μB per cell; E_tot = -4.5508 eV/atom; symmetry = P-1, No. 2
1.0
3.5405 0.0000 0.0000
0.0062 8.6652 0.0000
1.7646 2.8903 11.2291
Nd Ho Tm
2 5 4
Direct
0.0903 0.2265 0.3184
0.9097 0.7735 0.6816
0.0000 0.5000 0.5000
0.2722 0.6836 0.9557
0.3634 0.4069 0.7735
0.6366 0.5931 0.2265
0.7278 0.3164 0.0443
0.1822 0.9536 0.1356
0.4531 0.1385 0.5937
0.5469 0.8615 0.4063
0.8178 0.0464 0.8644

***

Entry 2:
Nd2HoTm5, relaxed, DFT PBE-GGA; calculated volume = 506 Å³/cell; energy of formation = 1.4 eV per formula unit; total magnetization = 0.00 μB per cell; E_tot = -4.3868 eV/atom; symmetry = C2/c, No. 15
1.0
8.0394 -4.9007 0.0000
8.0394 4.9007 0.0000
-1.0521 0.0000 6.4271
Nd Ho Tm
4 2 10
Direct
0.1651 0.6761 0.8813
0.3239 0.8349 0.6187
0.6761 0.1651 0.3813
0.8349 0.3239 0.1187
0.0000 0.5000 0.0000
0.5000 0.0000 0.5000
0.0114 0.1907 0.6485
0.1907 0.0114 0.1485
0.2150 0.3890 0.4734
0.3890 0.2150 0.9734
0.4411 0.5589 0.2500
0.5589 0.4411 0.7500
0.6110 0.7850 0.0266
0.7850 0.6110 0.5266
0.8093 0.9886 0.8515
0.9886 0.8093 0.3515

***

Entry 3:
Nd4HoTm6, relaxed, DFT PBE-GGA; offset from the most stable computed form = 1.928 eV/f.u.; calculated volume = 384 Å³/cell; energy of formation = 5.2 eV per formula unit; total magnetization = 0.00 μB per cell; E_tot = -4.1170 eV/atom; symmetry = I-42m, No. 121
1.0
-3.8329 3.8329 6.5315
3.8329 -3.8329 6.5315
3.8329 3.8329 -6.5315
Nd Ho Tm
4 1 6
Direct
0.2466 0.2466 0.6474
0.4008 0.7534 0.0000
0.5992 0.5992 0.3526
0.7534 0.4008 0.0000
0.0000 0.0000 0.0000
0.0000 0.5000 0.5000
0.0622 0.5761 0.0000
0.4239 0.4239 0.4861
0.5000 0.0000 0.5000
0.5761 0.0622 0.0000
0.9378 0.9378 0.5139

***

Entry 4:
Nd4Ho4Tm5, relaxed, DFT PBE-GGA; calculated volume = 414 Å³/cell; energy of formation = 0.3 eV per formula unit; total magnetization = 0.00 μB per cell; E_tot = -4.5714 eV/atom; symmetry = I4/m, No. 87
1.0
-6.4229 6.4229 2.5098
6.4229 -6.4229 2.5098
6.4229 6.4229 -2.5098
Nd Ho Tm
4 4 5
Direct
0.0788 0.3819 0.4607
0.3819 0.9212 0.3031
0.6181 0.0788 0.6969
0.9212 0.6181 0.5393
0.1528 0.7714 0.9242
0.2286 0.1528 0.3814
0.7714 0.8472 0.6186
0.8472 0.2286 0.0758
0.0000 0.0000 0.0000
0.3112 0.5389 0.8502
0.4611 0.3112 0.7723
0.5389 0.6888 0.2277
0.6888 0.4611 0.1498

***

Entry 5:
NdHo5Tm4, relaxed, DFT PBE-GGA; offset from the most stable computed form = 2.877 eV/f.u.; calculated volume = 321 Å³/cell; energy of formation = 3.1 eV per formula unit; total magnetization = 0.00 μB per cell; E_tot = -4.2435 eV/atom; symmetry = I4, No. 79
1.0
-5.0493 5.0493 3.1446
5.0493 -5.0493 3.1446
5.0493 5.0493 -3.1446
Nd Ho Tm
1 5 4
Direct
0.0000 0.0000 0.0000
0.0385 0.1304 0.6216
0.1304 0.5088 0.0919
0.4169 0.0385 0.9081
0.5088 0.4169 0.3784
0.5447 0.5447 0.0000
0.1199 0.8220 0.4008
0.4212 0.7191 0.5992
0.7191 0.1199 0.2979
0.8220 0.4212 0.7021

***

Entry 6:
Nd2YHo6Tm, relaxed, DFT PBE-GGA; calculated volume = 645 Å³/cell; energy of formation = 1.1 eV per formula unit; total magnetization = 0.00 μB per cell; E_tot = -4.6797 eV/atom; symmetry = C2/c, No. 15
1.0
4.4951 -7.5298 0.0000
4.4951 7.5298 0.0000
-1.4497 0.0000 9.5277
Nd Y Ho Tm
4 2 12 2
Direct
0.1949 0.3016 0.0429
0.3016 0.1949 0.5429
0.6984 0.8051 0.4571
0.8051 0.6984 0.9571
0.0183 0.9817 0.2500
0.9817 0.0183 0.7500
0.0210 0.5748 0.1880
0.1275 0.7455 0.5572
0.2545 0.8725 0.9428
0.2907 0.5016 0.3812
0.4252 0.9790 0.3120
0.4984 0.7093 0.1188
0.5016 0.2907 0.8812
0.5748 0.0210 0.6880
0.7093 0.4984 0.6188
0.7455 0.1275 0.0572
0.8725 0.2545 0.4428
0.9790 0.4252 0.8120
0.4075 0.5925 0.7500
0.5925 0.4075 0.2500

***

Entry 7:
Nd6Y3Ho2Tm, relaxed, DFT PBE-GGA; calculated volume = 398 Å³/cell; energy of formation = 0.1 eV per formula unit; total magnetization = 0.00 μB per cell; E_tot = -5.1248 eV/atom; symmetry = C2/m, No. 12
1.0
3.1377 -5.4339 0.0000
3.1377 5.4339 0.0000
-2.0860 0.0000 11.6588
Nd Y Ho Tm
6 3 2 1
Direct
0.0837 0.4167 0.7520
0.2501 0.2501 0.2484
0.4167 0.0837 0.7520
0.5833 0.9163 0.2480
0.7499 0.7499 0.7516
0.9163 0.5833 0.2480
0.0000 0.0000 0.5000
0.3333 0.6667 0.5000
0.6667 0.3333 0.5000
0.1666 0.8334 0.0000
0.8334 0.1666 0.0000
0.5000 0.5000 0.0000

***

Entry 8:
NdY5HoTm2, relaxed, DFT PBE-GGA; calculated volume = 593 Å³/cell; energy of formation = 1.4 eV per formula unit; total magnetization = 0.00 μB per cell; E_tot = -5.4646 eV/atom; symmetry = Cmc2_1, No. 36
1.0
2.8104 -10.1199 0.0000
2.8104 10.1199 0.0000
0.0000 0.0000 10.4242
Nd Y Ho Tm
2 10 2 4
Direct
0.1958 0.8042 0.5000
0.8042 0.1958 0.0000
0.0157 0.9843 0.5064
0.2769 0.7231 0.8005
0.3016 0.6984 0.1894
0.3896 0.6104 0.5107
0.4778 0.5222 0.2223
0.5222 0.4778 0.7223
0.6104 0.3896 0.0107
0.6984 0.3016 0.6894
0.7231 0.2769 0.3005
0.9843 0.0157 0.0064
0.4118 0.5882 0.9321
0.5882 0.4118 0.4321
0.1114 0.8886 0.2192
0.1124 0.8876 0.8037
0.8876 0.1124 0.3037
0.8886 0.1114 0.7192